1.
Below is SrAgW at its PBEsol-relaxed geometry, with properties calculated at the meta-GGA SCAN level.

abc: 5.0220 5.0220 5.0220
angles: 60.00 60.00 60.00
Closest atoms and distances in Å follow each position.
Fractional coordinates of all 3 atoms:
1 W 0.0000 0.0000 0.0000  4 Sr 3.08
2 Sr 0.2500 0.2500 0.2500  4 W 3.08, 4 Ag 3.08
3 Ag 0.5000 0.5000 0.5000  4 Sr 3.08

E (eV/atom): -39.01
Space group: F-43m (216)

2.
Below is SrAg2W at its PBEsol-relaxed geometry, with properties calculated at the meta-GGA SCAN level.

abc: 2.8380 4.0937 6.9719
angles: 90.00 90.00 90.00
Closest atoms and distances in Å follow each position.
Fractional coordinates of all 4 atoms:
1 Ag 0.0000 0.0000 0.3039  3 Ag 2.73-2.84, 4 W 2.84
2 Ag 0.0000 0.0000 0.6961  3 Ag 2.73-2.84, 4 W 2.84
3 W 0.5000 0.5000 0.5000  2 W 2.84, 8 Ag 2.84
4 Sr 0.5000 0.5000 0.0000  2 Sr 2.84

Space group: Pmmm (47)
ΔE to the lowest computed polymorph (eV/atom): 0.0000

3.
Below is SrAgW2 at its PBEsol-relaxed geometry, with properties calculated at the meta-GGA SCAN level.

abc: 3.2460 3.3065 7.7512
angles: 91.45 90.00 90.00
Closest atoms and distances in Å follow each position.
Fractional coordinates of all 4 atoms:
1 W 0.5000 0.4762 0.2235  4 W 2.51-2.71
2 W 0.0000 0.0141 0.0691  4 W 2.51-2.71
3 Ag 0.0000 0.9966 0.4532  5 W 2.91-2.98, 2 Ag 3.25
4 Sr 0.5000 0.5130 0.7542  4 Sr 3.25-3.31, 4 Ag 3.28-3.29, 4 W 3.34-3.39

E (eV/atom): -47.60
Space group: Pm (6)

4.
Below is Sr2AgW at its PBEsol-relaxed geometry, with properties calculated at the meta-GGA SCAN level.

abc: 3.0357 5.7582 6.2165
angles: 107.37 104.13 90.00
Closest atoms and distances in Å follow each position.
Fractional coordinates of all 4 atoms:
1 Sr 0.7760 0.3176 0.5521  2 Sr 3.04, 3 W 3.27-3.36, 4 Ag 3.31-3.35
2 Sr 0.9729 0.9295 0.9459  2 Sr 3.04, 3 Ag 3.27-3.34, 4 W 3.33-3.34
3 W 0.5369 0.4718 0.0738  2 Ag 2.77, 2 W 3.04
4 Ag 0.2141 0.7810 0.4283  2 W 2.77, 2 Ag 3.04

Space group: Cm (8)
ΔE to the lowest computed polymorph (eV/atom): 0.0000